(a)
A plane-wave DFT calculation with PBE-GGA was carried out for an optimized crystal structure of Dy4ThTl2.

Results
Calculated volume, Å³/atom: 33.01
Total moment, μB/cell: 0.000

Unit cell a=5.5076 b=5.5076 c=26.3848 alpha=90.00 beta=90.00 gamma=120.00
Last column: nearest neighbours and their distance in Å.
Space group R-3m (No. 166, hexagonal axes)
Asymmetric unit:
Dy  0.0000  0.0000  0.1281  3 Th 3.34, 4 Dy 3.46-3.48
Dy  0.0000  0.0000  0.2591  4 Tl 3.13-3.28, 4 Dy 3.46-3.48
Th  0.0000  0.0000  0.5000  2 Tl 3.23, 6 Dy 3.34
Tl  0.0000  0.0000  0.3777  4 Dy 3.13-3.28, 1 Th 3.23

***

(b)
A plane-wave DFT calculation with PBE-GGA was carried out for an optimized crystal structure of Dy4ThTl2.

Results
Calculated volume, Å³/atom: 31.02
Total moment, μB/cell: 0.000

Unit cell a=8.7139 b=10.3236 c=4.8281 alpha=90.00 beta=90.00 gamma=90.00
Last column: nearest neighbours and their distance in Å.
Space group Cmmm (No. 65)
Asymmetric unit:
Dy  0.2073  0.0000  0.0000  4 Tl 3.33-3.48, 2 Th 3.51, 5 Dy 3.55-3.61
Dy  0.2500  0.2500  0.5000  4 Tl 3.26, 2 Th 3.38, 4 Dy 3.55
Th  0.0000  0.5000  0.5000  8 Dy 3.38-3.51, 4 Tl 3.38
Tl  0.0000  0.2712  0.0000  8 Dy 3.26-3.48, 2 Th 3.38

***

Which of them is most stable, and which least? Most stable: (b); least stable: (a).

***

(a)
A plane-wave DFT calculation with PBE-GGA was carried out for an optimized crystal structure of Dy2ThTl4.

Results
Calculated volume, Å³/atom: 30.38
Total moment, μB/cell: 0.000

Unit cell a=5.2095 b=5.2095 c=7.8357 alpha=90.00 beta=90.00 gamma=90.00
Last column: nearest neighbours and their distance in Å.
Space group P4/mmm (No. 123)
Asymmetric unit:
Dy  0.0000  0.0000  0.0000  8 Tl 3.15
Dy  0.5000  0.5000  0.5000  8 Tl 3.37, 4 Th 3.68
Th  0.0000  0.0000  0.5000  8 Tl 3.37, 4 Dy 3.68
Tl  0.0000  0.5000  0.2263  4 Dy 3.15-3.37, 2 Th 3.37

***

(b)
A plane-wave DFT calculation with PBE-GGA was carried out for an optimized crystal structure of Dy2ThTl4.

Results
Calculated volume, Å³/atom: 30.18
Total moment, μB/cell: 0.000

Unit cell a=4.9588 b=4.9588 c=29.7578 alpha=90.00 beta=90.00 gamma=120.00
Last column: nearest neighbours and their distance in Å.
Space group R-3m (No. 166, hexagonal axes)
Asymmetric unit:
Dy  0.0000  0.0000  0.1283  4 Tl 3.08-3.43
Th  0.0000  0.0000  0.0000  6 Tl 3.24
Tl  0.0000  0.0000  0.2435  4 Dy 3.08-3.43, 3 Tl 3.09
Tl  0.0000  0.0000  0.3843  3 Tl 3.09, 3 Th 3.24

***

Which of them is most stable, and which least? Most stable: (a); least stable: (b).

***

(a)
A plane-wave DFT calculation with PBE-GGA was carried out for an optimized crystal structure of DyTm3Th.

Results
Calculated volume, Å³/atom: 31.38
Total moment, μB/cell: 0.000

Unit cell a=8.8295 b=14.5458 c=10.0075 alpha=90.00 beta=102.40 gamma=90.00
Last column: nearest neighbours and their distance in Å.
Space group C2/c (No. 15)
Asymmetric unit:
Dy  0.0000  0.0094  0.2500  4 Th 3.22-3.27, 4 Tm 3.49-3.60
Dy  0.0000  0.4010  0.7500  8 Tm 3.36-3.67, 2 Th 3.52
Tm  0.0757  0.1884  0.9501  2 Th 3.40-3.70, 6 Tm 3.40-3.71, 2 Dy 3.49-3.67
Tm  0.0920  0.3994  0.1177  3 Th 3.25-3.52, 4 Tm 3.27-3.49, 2 Dy 3.36-3.59
Tm  0.1990  0.2257  0.3240  4 Tm 3.27-3.52, 2 Th 3.39-3.59, 2 Dy 3.44-3.60
Th  0.2268  0.0454  0.5431  3 Dy 3.22-3.52, 6 Tm 3.25-3.59

***

(b)
A plane-wave DFT calculation with PBE-GGA was carried out for an optimized crystal structure of DyTm3Th.

Results
Calculated volume, Å³/atom: 33.99
Total moment, μB/cell: 0.000

Unit cell a=5.2583 b=11.9863 c=10.7864 alpha=90.00 beta=90.27 gamma=90.00
Last column: nearest neighbours and their distance in Å.
Space group C2/m (No. 12)
Asymmetric unit:
Dy  0.0000  0.1610  0.0000  2 Tm 3.20, 2 Dy 3.39
Tm  0.0024  0.3370  0.7293  4 Tm 3.29-3.36, 3 Th 3.40-3.62, 1 Dy 3.60
Tm  0.0035  0.0000  0.7637  2 Dy 3.20, 4 Tm 3.29-3.30, 2 Th 3.32
Th  0.0000  0.1427  0.5000  8 Tm 3.32-3.62, 3 Th 3.42-3.68

***

Which of them is most stable, and which least? Most stable: (a); least stable: (b).

***

(a)
A plane-wave DFT calculation with PBE-GGA was carried out for an optimized crystal structure of DyTmTh2.

Results
Calculated volume, Å³/atom: 31.53
Total moment, μB/cell: 0.001

Unit cell a=3.5498 b=3.5498 c=34.6746 alpha=90.00 beta=90.00 gamma=120.00
Last column: nearest neighbours and their distance in Å.
Space group R3m (No. 160, hexagonal axes)
Asymmetric unit:
Dy  0.0000  0.0000  0.0000  6 Th 3.51-3.62, 6 Dy 3.55
Tm  0.0000  0.0000  0.8301  6 Th 3.48-3.56, 6 Tm 3.55
Th  0.0000  0.0000  0.4156  3 Tm 3.48, 3 Dy 3.51, 6 Th 3.55
Th  0.0000  0.0000  0.5807  6 Th 3.55, 3 Tm 3.56, 3 Dy 3.62

***

(b)
A plane-wave DFT calculation with PBE-GGA was carried out for an optimized crystal structure of DyTmTh2.

Results
Calculated volume, Å³/atom: 31.73
Total moment, μB/cell: 0.000

Unit cell a=5.0293 b=5.0404 c=10.0138 alpha=90.00 beta=90.05 gamma=90.00
Last column: nearest neighbours and their distance in Å.
Space group P2_1/m (No. 11)
Asymmetric unit:
Dy  0.9998  0.2500  0.1272  4 Th 3.54, 6 Tm 3.56-3.58, 2 Dy 3.58
Tm  0.5002  0.2500  0.8730  4 Th 3.54-3.55, 6 Dy 3.56-3.58, 2 Tm 3.58
Th  0.9997  0.2500  0.6246  8 Th 3.53-3.56, 2 Tm 3.54, 2 Dy 3.54
Th  0.5005  0.2500  0.3761  8 Th 3.53-3.56, 2 Dy 3.54, 2 Tm 3.55

***

(c)
A plane-wave DFT calculation with PBE-GGA was carried out for an optimized crystal structure of DyTmTh2.

Results
Calculated volume, Å³/atom: 31.57
Total moment, μB/cell: 0.000

Unit cell a=7.9637 b=7.9637 c=7.9637 alpha=90.00 beta=90.00 gamma=90.00
Last column: nearest neighbours and their distance in Å.
Space group Fm-3m (No. 225)
Asymmetric unit:
Dy  0.0000  0.0000  0.0000  8 Th 3.45
Tm  0.0000  0.0000  0.5000  8 Th 3.45
Th  0.2500  0.2500  0.2500  4 Dy 3.45, 4 Tm 3.45

***

Which of them is most stable, and which least? Most stable: (b); least stable: (c).

***

(a)
A plane-wave DFT calculation with PBE-GGA was carried out for an optimized crystal structure of DyTmTh2.

Results
Calculated volume, Å³/atom: 31.61
Total moment, μB/cell: 0.000

Unit cell a=5.0140 b=5.0140 c=5.0293 alpha=90.00 beta=90.00 gamma=90.00
Last column: nearest neighbours and their distance in Å.
Space group P4/mmm (No. 123)
Asymmetric unit:
Dy  0.0000  0.0000  0.0000  4 Tm 3.55, 8 Th 3.55
Tm  0.5000  0.5000  0.0000  4 Dy 3.55, 8 Th 3.55
Th  0.0000  0.5000  0.5000  4 Th 3.55, 4 Dy 3.55, 4 Tm 3.55

***

(b)
A plane-wave DFT calculation with PBE-GGA was carried out for an optimized crystal structure of DyTmTh2.

Results
Calculated volume, Å³/atom: 36.27
Total moment, μB/cell: 0.000

Unit cell a=5.9951 b=27.7351 c=3.5035 alpha=90.00 beta=95.09 gamma=90.00
Last column: nearest neighbours and their distance in Å.
Space group C2/c (No. 15)
Asymmetric unit:
Dy  0.2500  0.2500  0.0000  2 Tm 3.28, 6 Dy 3.33-3.60
Tm  0.0000  0.1510  0.2500  2 Dy 3.28, 2 Th 3.30, 2 Tm 3.50
Th  0.2469  0.4466  0.0378  7 Th 3.26-3.50, 1 Tm 3.30

***

Which of them is most stable, and which least? Most stable: (a); least stable: (b).

***

(a)
A plane-wave DFT calculation with PBE-GGA was carried out for an optimized crystal structure of DyTmTh.

Results
Calculated volume, Å³/atom: 31.38
Total moment, μB/cell: 0.000

Unit cell a=3.5562 b=3.5562 c=8.5952 alpha=90.00 beta=90.00 gamma=120.00
Last column: nearest neighbours and their distance in Å.
Space group P3m1 (No. 156)
Asymmetric unit:
Dy  0.0000  0.0000  0.0000  3 Th 3.51, 6 Dy 3.56, 3 Tm 3.59
Tm  0.6667  0.3333  0.3429  3 Th 3.48, 6 Tm 3.56, 3 Dy 3.59
Th  0.3333  0.6667  0.6693  3 Tm 3.48, 3 Dy 3.51, 6 Th 3.56

***

(b)
A plane-wave DFT calculation with PBE-GGA was carried out for an optimized crystal structure of DyTmTh.

Results
Calculated volume, Å³/atom: 31.68
Total moment, μB/cell: 0.000

Unit cell a=3.5729 b=5.7377 c=9.4395 alpha=90.00 beta=100.83 gamma=90.00
Last column: nearest neighbours and their distance in Å.
Space group P2_1/m (No. 11)
Asymmetric unit:
Dy  0.0558  0.2500  0.1128  6 Tm 3.53-3.59, 4 Dy 3.55-3.57, 2 Th 3.60-3.62
Tm  0.3903  0.2500  0.7772  4 Th 3.51-3.57, 6 Dy 3.53-3.59, 2 Tm 3.57
Th  0.2719  0.7500  0.5488  6 Th 3.49-3.57, 4 Tm 3.51-3.57, 2 Dy 3.60-3.62

***

Which of them is most stable, and which least? Most stable: (a); least stable: (b).

***

(a)
A plane-wave DFT calculation with PBE-GGA was carried out for an optimized crystal structure of DyTm7Th3.

Results
Calculated volume, Å³/atom: 32.08
Total moment, μB/cell: 0.000

Unit cell a=6.8620 b=5.4599 c=10.0129 alpha=90.00 beta=109.84 gamma=90.00
Last column: nearest neighbours and their distance in Å.
Space group P2/m (No. 10)
Asymmetric unit:
Dy  0.0000  0.0000  0.0000  2 Th 3.43, 10 Tm 3.46-3.79
Tm  0.0855  0.0000  0.6703  3 Tm 3.21-3.27, 5 Th 3.51-3.55, 1 Dy 3.54
Tm  0.1752  0.5000  0.8611  5 Tm 3.26-3.51, 2 Dy 3.46, 2 Th 3.50
Tm  0.3608  0.5000  0.2068  3 Tm 3.26-3.51, 2 Th 3.33-3.39
Tm  0.5000  0.0000  0.5000  4 Th 3.33
Th  0.2222  0.5000  0.5007  1 Th 3.04, 4 Tm 3.33-3.39
Th  0.5000  0.0000  0.0000  2 Dy 3.43, 10 Tm 3.50-3.74

***

(b)
A plane-wave DFT calculation with PBE-GGA was carried out for an optimized crystal structure of DyTm7Th3.

Results
Calculated volume, Å³/atom: 32.66
Total moment, μB/cell: 0.000

Unit cell a=7.0072 b=7.0072 c=8.4489 alpha=90.00 beta=90.00 gamma=120.00
Last column: nearest neighbours and their distance in Å.
Space group P3m1 (No. 156)
Asymmetric unit:
Dy  0.0000  0.0000  0.0000  3 Th 3.45, 9 Tm 3.49-3.50
Tm  0.0022  0.5011  0.0033  2 Th 3.46, 7 Tm 3.48-3.53, 2 Dy 3.50
Tm  0.3316  0.1658  0.3378  2 Th 3.46, 8 Tm 3.48-3.52, 1 Dy 3.49
Tm  0.3333  0.6667  0.3397  3 Th 3.44, 9 Tm 3.48-3.50
Th  0.1671  0.3343  0.6698  5 Tm 3.44-3.46, 1 Dy 3.45, 4 Th 3.49-3.51

***

Which of them is most stable, and which least? Most stable: (a); least stable: (b).

***

(a)
A plane-wave DFT calculation with PBE-GGA was carried out for an optimized crystal structure of DyTm4Th.

Results
Calculated volume, Å³/atom: 32.03
Total moment, μB/cell: 10.177

Unit cell a=9.1610 b=9.1610 c=9.1610 alpha=90.00 beta=90.00 gamma=90.00
Last column: nearest neighbours and their distance in Å.
Space group F-43m (No. 216)
Asymmetric unit:
Dy  0.0000  0.0000  0.0000  12 Tm 3.80, 4 Th 3.97
Tm  0.1248  0.1248  0.6248  6 Tm 3.23-3.24
Th  0.2500  0.2500  0.2500  12 Tm 3.80, 4 Dy 3.97

***

(b)
A plane-wave DFT calculation with PBE-GGA was carried out for an optimized crystal structure of DyTm4Th.

Results
Calculated volume, Å³/atom: 30.67
Total moment, μB/cell: 0.000

Unit cell a=3.5474 b=18.2721 c=11.3560 alpha=90.00 beta=90.00 gamma=90.00
Last column: nearest neighbours and their distance in Å.
Space group Cmc2_1 (No. 36)
Asymmetric unit:
Dy  0.0000  0.2211  0.0000  7 Tm 3.47-3.54, 3 Th 3.48-3.53, 2 Dy 3.55
Tm  0.0000  0.0015  0.7538  10 Tm 3.46-3.57, 2 Th 3.48
Tm  0.0000  0.1116  0.5060  2 Th 3.45, 8 Tm 3.46-3.55, 2 Dy 3.54
Tm  0.0000  0.3318  0.7520  3 Dy 3.47-3.50, 2 Th 3.52, 7 Tm 3.52-3.57
Tm  0.0000  0.4453  0.5012  9 Tm 3.46-3.55, 1 Th 3.49, 2 Dy 3.52
Th  0.0000  0.3343  0.2515  7 Tm 3.45-3.52, 3 Dy 3.48-3.53, 2 Th 3.55

***

(c)
A plane-wave DFT calculation with PBE-GGA was carried out for an optimized crystal structure of DyTm4Th.

Results
Calculated volume, Å³/atom: 32.00
Total moment, μB/cell: 0.001

Unit cell a=8.6954 b=14.3532 c=6.5683 alpha=90.00 beta=110.49 gamma=90.00
Last column: nearest neighbours and their distance in Å.
Space group C2/c (No. 15)
Asymmetric unit:
Dy  0.0000  0.0881  0.2500  10 Tm 3.52-3.92
Tm  0.0926  0.3060  0.5339  2 Th 3.29-3.35, 4 Tm 3.31-3.51, 2 Dy 3.59-3.65
Tm  0.2018  0.1293  0.8784  3 Tm 3.31-3.32, 2 Th 3.42-3.52, 2 Dy 3.52-3.53
Th  0.0000  0.4998  0.2500  2 Th 3.28, 8 Tm 3.29-3.52

***

Which of them is most stable, and which least? Most stable: (b); least stable: (a).